The following is a DFT calculation (PBE-GGA) of AcNd5Pb5 after structural relaxation.

Cell lengths 14.635, 6.529, 9.061 Å; angles 90.00, 107.51, 90.00 degrees
Space group C2/m (No. 12)
Unique sites:
Ac: 0.000 0.000 0.000 x2
Nd: 0.000 0.000 0.500 x2
Nd: 0.160 0.500 0.336 x4
Nd: 0.171 0.500 0.838 x4
Pb: 0.000 0.500 0.000 x2
Pb: 0.169 0.000 0.346 x4
Pb: 0.170 0.000 0.820 x4

Output
Density: 7.981 Mg/m³
Energy of formation from the pure elements: -3.45 eV per formula unit

***

The following is a DFT calculation (PBE-GGA) of ZrReAu2F after structural relaxation.

Cell lengths 5.117, 5.117, 3.839 Å; angles 90.00, 90.00, 90.00 degrees
Space group P4/mmm (No. 123)
Unique sites:
Zr: 0.000 0.000 0.000 x1
Re: 0.500 0.500 0.500 x1
Au: 0.000 0.500 0.500 x2
F: 0.500 0.500 0.000 x1

Output
Density: 11.401 Mg/m³
Formation energy without anion corrections: 23.7 kJ/mol of atoms

***

The following is a DFT calculation (PBE-GGA) of Na2PuCrS4 after structural relaxation.

Cell lengths 6.498, 3.855, 7.006 Å; angles 90.00, 108.46, 90.00 degrees
Space group P2/m (No. 10)
Unique sites:
Na: 0.000 0.000 0.000 x1
Na: 0.500 0.500 0.000 x1
Pu: 0.000 0.500 0.500 x1
Cr: 0.500 0.000 0.500 x1
S: 0.261 0.000 0.722 x2
S: 0.286 0.500 0.293 x2

Output
Density: 4.691 Mg/m³
Formation energy without anion corrections: -115.0 kJ/mol of atoms

***

> density of number 1 (AcNd5Pb5)?

7.981 Mg/m³

***

> The highest density belongs to which entry?

ZrReAu2F

***

> Which formula does entry 3 have?

Na2PuCrS4